Entry 1:
Here is a relaxed structure of TiIn2P2 from Alexandria. Energies are from GGA-PBE.

Summary:
Energy above the most stable polymorph in this dataset   0.000 eV per atom
DFT formation energy   -134 meV per atom
Crystal system   tetragonal
M_tot   0.000 μB/atom

a b c (Å): 6.623 6.623 4.357
angles (deg): 90.00 90.00 90.00
Space group P4/mbm (No. 127)
Symmetry-distinct sites (fractional):
Ti 0.000 0.000 0.000 (multiplicity 2)
In 0.170 0.330 0.500 (multiplicity 4)
P 0.147 0.647 0.000 (multiplicity 4)

=====

Entry 2:
Here is a relaxed structure of YBeMo2P from Alexandria. Energies are from GGA-PBE.

Summary:
DFT formation energy   238 meV per atom
Crystal system   tetragonal
M_tot   0.000 μB/atom

a b c (Å): 4.640 4.640 4.076
angles (deg): 90.00 90.00 90.00
Space group P4/mmm (No. 123)
Symmetry-distinct sites (fractional):
Y 0.000 0.000 0.000 (multiplicity 1)
Be 0.500 0.500 0.000 (multiplicity 1)
Mo 0.000 0.500 0.500 (multiplicity 2)
P 0.500 0.500 0.500 (multiplicity 1)

=====

Entry 3:
Here is a relaxed structure of KCd2Cl6 from Alexandria. Energies are from GGA-PBE.

Summary:
Crystal system   monoclinic
M_tot   0.112 μB/atom
ΔE_f (raw)   -1.08 eV/atom

a b c (Å): 12.783 5.640 9.563
angles (deg): 90.00 126.46 90.00
Space group C2/m (No. 12)
Symmetry-distinct sites (fractional):
K 0.000 0.000 0.000 (multiplicity 2)
Cd 0.177 0.000 0.575 (multiplicity 4)
Cl 0.054 0.000 0.717 (multiplicity 4)
Cl 0.132 0.500 0.087 (multiplicity 4)
Cl 0.210 0.500 0.576 (multiplicity 4)

=====

Entry 4:
Here is a relaxed structure of LaY4Ho5 from Alexandria. Energies are from GGA-PBE.

Summary:
Energy above the most stable polymorph in this dataset   0.000 eV per atom
DFT formation energy   68 meV per atom
Crystal system   triclinic
M_tot   0.000 μB/atom

a b c (Å): 3.529 6.784 14.116
angles (deg): 94.41 96.28 103.86
Space group P-1 (No. 2)
Symmetry-distinct sites (fractional):
La 0.000 0.000 0.000 (multiplicity 1)
Y 0.199 0.683 0.801 (multiplicity 2)
Y 0.488 0.205 0.784 (multiplicity 2)
Ho 0.009 0.608 0.404 (multiplicity 2)
Ho 0.284 0.134 0.401 (multiplicity 2)
Ho 0.500 0.500 0.000 (multiplicity 1)

=====

The following D(E_F) values (in states/eV/f.u.) correspond, in order, to the records above: 1.076; 5.761; 0.082; 18.588.